Compound: Co5P4H10O20
Source: the Alexandria database
Functional: GGA+U
Structure: relaxed

```
78
Lattice="8.730 -4.493 0.000 8.730 4.493 0.000 -1.105 0.000 9.332" Properties=species:S:1:pos:R:3 pbc="T T T"
Co 7.902 3.623 6.999
Co 2.091 0.216 8.106
Co 2.644 -0.216 3.440
Co 5.287 0.770 1.751
Co 4.735 -0.770 6.417
Co 11.621 0.770 2.915
Co 11.068 -0.770 7.581
Co 13.712 0.216 5.891
Co 14.264 -0.216 1.225
Co 8.454 -3.623 2.333
P 6.821 2.874 3.835
P 4.954 2.163 8.136
P 10.087 2.874 0.831
P 10.850 2.163 5.862
P 5.506 -2.163 3.470
P 6.269 -2.874 8.500
P 11.402 -2.163 1.196
P 9.534 -2.874 5.497
H 3.426 1.324 5.486
H 4.667 1.138 4.450
H 7.238 1.973 9.132
H 8.565 1.973 4.865
H 6.751 0.753 6.765
H 3.978 -1.324 0.820
H 7.912 0.599 1.359
H 4.115 -1.138 9.116
H 8.996 0.599 3.307
H 9.052 0.753 7.232
H 7.304 -0.753 2.100
H 7.360 -0.599 6.025
H 12.241 1.138 0.215
H 8.444 -0.599 7.973
H 12.377 1.324 8.512
H 9.604 -0.753 2.566
H 7.790 -1.973 4.466
H 9.117 -1.973 0.199
H 11.688 -1.138 4.881
H 12.929 -1.324 3.846
O 0.571 0.618 6.641
O 6.654 3.566 5.210
O 5.820 2.400 0.329
O 3.288 1.154 2.012
O 5.570 2.039 3.451
O 1.123 -0.618 1.975
O 3.929 0.654 4.948
O 9.149 3.566 8.787
O 6.503 2.106 7.842
O 4.267 0.853 7.700
O 8.052 1.890 3.964
O 8.856 1.890 0.701
O 2.736 -1.154 6.678
O 4.481 -0.654 0.283
O 9.300 2.106 6.155
O 4.819 -0.853 3.034
O 11.087 2.400 4.336
O 6.582 0.002 6.135
O 7.134 -0.002 1.470
O 11.338 2.039 1.215
O 5.018 -2.039 8.117
O 9.221 0.002 7.862
O 9.773 -0.002 3.196
O 5.268 -2.400 4.995
O 11.536 0.853 6.297
O 7.055 -2.106 3.177
O 11.874 0.654 9.049
O 13.619 1.154 2.654
O 7.500 -1.890 8.630
O 8.303 -1.890 5.367
O 12.089 -0.853 1.631
O 9.852 -2.106 1.489
O 7.206 -3.566 0.544
O 12.427 -0.654 4.383
O 15.232 0.618 7.356
O 10.786 -2.039 5.880
O 13.067 -1.154 7.320
O 10.535 -2.400 9.002
O 9.701 -3.566 4.121
O 15.784 -0.618 2.690
```

Properties
The value obtained for the total DFT energy (no corrections) is -6.1336 eV per atom. The calculation puts the total magnetization at 15.0 μB/f.u. For the density of states at the Fermi level, the calculation gives 0.000 states/eV/cell. Its space-group type is C2/c, No. 15.